(P)
A geometry-optimized Pr3SmSn2 structure, computed with GGA-PBE.

Values from the calculation:
total magnetization = 0.00 Bohr magnetons per cell
N(E_F) = 17.05 states/eV per cell

Geometry as POSCAR:
```
Pr3SmSn2
1.0
-3.7325 7.4912 3.9543
3.7325 -7.4912 3.9543
3.7325 7.4912 -3.9543
Pr Sm Sn
6 2 4
Cartesian
3.7325 -3.1975 1.9772
0.0000 0.0000 1.9772
3.7325 3.1975 1.9772
0.0000 4.2937 1.9772
0.0000 0.0000 5.9315
0.0000 10.6887 1.9772
3.7325 0.0000 0.0000
0.0000 7.4912 0.0000
1.3893 2.1078 0.0000
1.3893 -2.1078 3.9543
2.3432 9.5990 0.0000
2.3432 5.3834 3.9543
```

---

(Q)
A geometry-optimized Pr3SmSn2 structure, computed with GGA-PBE.

Values from the calculation:
total magnetization = 0.00 Bohr magnetons per cell
N(E_F) = 8.07 states/eV per cell

Geometry as POSCAR:
```
Pr3SmSn2
1.0
4.6838 0.0000 0.0000
0.0000 4.6838 0.0000
0.0000 0.0000 8.8498
Pr Sm Sn
3 1 2
Cartesian
0.0000 0.0000 0.0000
0.0000 2.3419 5.7419
2.3419 0.0000 3.1079
2.3419 2.3419 0.0000
0.0000 2.3419 2.4572
2.3419 0.0000 6.3926
```

---

Relative calculated energies, zero for the most stable structure, unit meV per atom: (P) 232; (Q) 0.

---

(P)
A geometry-optimized SrPrSm2 structure, computed with GGA-PBE.

Values from the calculation:
total magnetization = 0.00 Bohr magnetons per cell
N(E_F) = 19.94 states/eV per cell

Geometry as POSCAR:
```
SrPrSm2
1.0
3.6893 0.0000 0.0000
-1.8446 3.1950 0.0000
0.0000 0.0000 39.2331
Sr Pr Sm
3 3 6
Cartesian
0.0000 0.0000 0.0000
0.0000 2.1300 26.1554
1.8446 1.0650 13.0777
0.0000 0.0000 19.6165
0.0000 2.1300 6.5389
1.8446 1.0650 32.6942
0.0000 0.0000 3.6016
0.0000 0.0000 35.6314
0.0000 2.1300 22.5537
0.0000 2.1300 29.7570
1.8446 1.0650 9.4760
1.8446 1.0650 16.6793
```

---

(Q)
A geometry-optimized SrPrSm2 structure, computed with GGA-PBE.

Values from the calculation:
total magnetization = 5.60 Bohr magnetons per cell
N(E_F) = 30.96 states/eV per cell

Geometry as POSCAR:
```
SrPrSm2
1.0
8.4654 0.0000 0.0000
0.0000 8.4654 0.0000
0.0000 0.0000 8.4654
Sr Pr Sm
4 4 8
Cartesian
0.0000 0.0000 0.0000
0.0000 4.2327 4.2327
4.2327 0.0000 4.2327
4.2327 4.2327 0.0000
0.0000 0.0000 4.2327
0.0000 4.2327 0.0000
4.2327 0.0000 0.0000
4.2327 4.2327 4.2327
2.1164 2.1164 2.1164
2.1164 2.1164 6.3491
2.1164 6.3491 2.1164
2.1164 6.3491 6.3491
6.3491 2.1164 2.1164
6.3491 2.1164 6.3491
6.3491 6.3491 2.1164
6.3491 6.3491 6.3491
```

---

Relative calculated energies, zero for the most stable structure, unit meV per atom: (P) 0; (Q) 31.

---

(P)
A geometry-optimized SrPrSm2 structure, computed with GGA-PBE.

Values from the calculation:
total magnetization = 0.00 Bohr magnetons per cell
N(E_F) = 18.64 states/eV per cell

Geometry as POSCAR:
```
SrPrSm2
1.0
3.7627 0.0000 0.0000
-1.8813 3.2586 0.0000
0.0000 0.0000 37.2261
Sr Pr Sm
3 3 6
Cartesian
0.0000 0.0000 0.0000
0.0000 2.1724 24.8174
1.8813 1.0862 12.4087
0.0000 0.0000 6.1690
0.0000 2.1724 30.9864
1.8813 1.0862 18.5777
0.0000 0.0000 21.5008
0.0000 0.0000 28.0915
0.0000 2.1724 9.0921
0.0000 2.1724 15.6828
1.8813 1.0862 3.2740
1.8813 1.0862 33.9095
```

---

(Q)
A geometry-optimized SrPrSm2 structure, computed with GGA-PBE.

Values from the calculation:
total magnetization = 0.00 Bohr magnetons per cell
N(E_F) = 7.05 states/eV per cell

Geometry as POSCAR:
```
SrPrSm2
1.0
5.3148 0.0000 0.0000
0.0000 5.3148 0.0000
0.0000 0.0000 5.3257
Sr Pr Sm
1 1 2
Cartesian
0.0000 0.0000 0.0000
2.6574 2.6574 0.0000
0.0000 2.6574 2.6629
2.6574 0.0000 2.6629
```

---

Relative calculated energies, zero for the most stable structure, unit meV per atom: (P) 0; (Q) 59.